A plane-wave DFT calculation with PBEsol was carried out for a relaxed TaInRh2 crystal.

**Calculated volume**: 63.45 Å³ per cell
**E_tot**: -33.66 eV per cell
**Energy of formation from the pure elements**: -461 meV/atom

a = 2.9115 Å, b = 3.6376 Å, c = 5.9909 Å
α = 90.00°, β = 90.00°, γ = 90.00°
Space group Pmmm (No. 47)
Symmetry-distinct sites (fractional):
Ta: 0.0000 0.0000 0.0000
In: 0.0000 0.0000 0.5000
Rh: 0.5000 0.5000 0.2376


A plane-wave DFT calculation with PBEsol was carried out for a relaxed InFePb2 crystal.

**Calculated volume**: 187.42 Å³ per cell
**E_tot**: -35.64 eV per cell
**Energy of formation from the pure elements**: 531 meV/atom
**Excess energy over the best structure of this formula in the dataset**: 0.252 eV/atom

a = 4.5876 Å, b = 4.5876 Å, c = 8.9050 Å
α = 90.00°, β = 90.00°, γ = 90.00°
Space group I4/mmm (No. 139)
Symmetry-distinct sites (fractional):
In: 0.0000 0.0000 0.0000
Fe: 0.0000 0.0000 0.5000
Pb: 0.0000 0.5000 0.2500


A plane-wave DFT calculation with PBEsol was carried out for a relaxed LiCoPO4 crystal.

**Calculated volume**: 305.77 Å³ per cell
**E_tot**: -196.08 eV per cell
**Formation energy from raw total energies**: -1790 meV per atom
**Excess energy over the best structure of this formula in the dataset**: 0.062 eV/atom

a = 9.1238 Å, b = 4.6938 Å, c = 7.3870 Å
α = 90.00°, β = 104.86°, γ = 90.00°
Space group C2 (No. 5)
Symmetry-distinct sites (fractional):
Li: 0.0000 0.0000 0.0000
Li: 0.0000 0.0606 0.5000
Co: 0.1633 0.5566 0.3020
P: 0.1670 0.6057 0.7353
O: 0.0396 0.7109 0.8215
O: 0.1526 0.2804 0.7059
O: 0.1536 0.7549 0.5406
O: 0.1740 0.2049 0.1504


A plane-wave DFT calculation with PBEsol was carried out for a relaxed Ca3Ge2Au9 crystal.

**Calculated volume**: 555.85 Å³ per cell
**E_tot**: -118.02 eV per cell
**Energy of formation from the pure elements**: -530 meV/atom

a = 9.3146 Å, b = 13.3740 Å, c = 4.4620 Å
α = 90.00°, β = 90.00°, γ = 90.00°
Space group Pnnm (No. 58)
Symmetry-distinct sites (fractional):
Ca: 0.0000 0.0000 0.0000
Ca: 0.0074 0.3137 0.0000
Ge: 0.1575 0.1822 0.5000
Au: 0.0000 0.5000 0.5000
Au: 0.1061 0.8362 0.5000
Au: 0.2083 0.5022 0.0000
Au: 0.2237 0.3671 0.5000
Au: 0.2340 0.6341 0.5000


A plane-wave DFT calculation with PBEsol was carried out for a relaxed TiGa2Cu2 crystal.

**Calculated volume**: 145.25 Å³ per cell
**E_tot**: -47.91 eV per cell
**Energy of formation from the pure elements**: -57 meV/atom

a = 3.7137 Å, b = 3.7137 Å, c = 10.5319 Å
α = 90.00°, β = 90.00°, γ = 90.00°
Space group I4/mmm (No. 139)
Symmetry-distinct sites (fractional):
Ti: 0.0000 0.0000 0.0000
Ga: 0.0000 0.5000 0.2500
Cu: 0.0000 0.0000 0.3947


A plane-wave DFT calculation with PBEsol was carried out for a relaxed TaAu crystal.

**Calculated volume**: 33.86 Å³ per cell
**E_tot**: -16.63 eV per cell
**Energy of formation from the pure elements**: -78 meV/atom

a = 2.8666 Å, b = 2.8666 Å, c = 4.1206 Å
α = 90.00°, β = 90.00°, γ = 90.00°
Space group P4/mmm (No. 123)
Symmetry-distinct sites (fractional):
Ta: 0.0000 0.0000 0.0000
Au: 0.5000 0.5000 0.5000